Ce3GaGe4 | PBE | relaxed

Properties
As for the space-group type: C2/m. The raw total energy is -43.71 eV per formula unit. The density of states at the Fermi level is 16.306 states/eV per cell.

Cell lengths 4.4292, 4.1334, 11.2070 Å; angles 111.83, 101.40, 90.00 degrees
Closest atoms and distances in Å follow each position.
Fractional coordinates of all 8 atoms:
Ce 0.0000 0.5000 0.0000  4 Ge 3.00, 4 Ga 3.03
Ce 0.1590 0.3133 0.3179  10 Ge 3.09-3.37
Ce 0.8410 0.6867 0.6821  10 Ge 3.09-3.37
Ga 0.5000 0.0000 0.0000  4 Ge 2.88-2.91, 4 Ce 3.03
Ge 0.4004 0.2945 0.8008  1 Ge 2.49
Ge 0.5996 0.7055 0.1992  1 Ge 2.49
Ge 0.7218 0.9100 0.4435  3 Ge 2.49-2.51
Ge 0.2782 0.0900 0.5565  3 Ge 2.49-2.51

***

Ce6Ga2Ge | PBE | relaxed

Properties
As for the space-group type: P6/mmm. The raw total energy is -48.92 eV per formula unit. The density of states at the Fermi level is 22.308 states/eV per cell.

Cell lengths 2.9804, 8.7860, 8.7860 Å; angles 120.00, 90.00, 90.00 degrees
Closest atoms and distances in Å follow each position.
Fractional coordinates of all 9 atoms:
Ce 0.5000 0.3334 0.3334  5 Ce 2.93-2.98
Ce 0.5000 0.6666 0.6666  5 Ce 2.93-2.98
Ce 0.5000 0.0000 0.6666  5 Ce 2.93-2.98
Ce 0.5000 0.6666 0.0000  5 Ce 2.93-2.98
Ce 0.5000 0.3334 0.0000  5 Ce 2.93-2.98
Ce 0.5000 0.0000 0.3334  5 Ce 2.93-2.98
Ga 0.0000 0.3333 0.6667  2 Ga 2.98, 12 Ce 3.29
Ga 0.0000 0.6667 0.3333  2 Ga 2.98, 12 Ce 3.29
Ge 0.0000 0.0000 0.0000  2 Ge 2.98, 12 Ce 3.29

***

Ce4GaGe3 | PBE | relaxed

Properties
As for the space-group type: Pmm2. The raw total energy is -45.86 eV per formula unit. The density of states at the Fermi level is 22.164 states/eV per cell.

Cell lengths 4.4094, 4.0604, 11.1301 Å; angles 90.00, 90.00, 90.00 degrees
Closest atoms and distances in Å follow each position.
Fractional coordinates of all 8 atoms:
Ce 0.5000 0.5000 0.3600  6 Ge 3.07-3.30, 1 Ga 3.18
Ce 0.0000 0.5000 0.8577  5 Ge 3.09, 2 Ga 3.26
Ce 0.0000 0.0000 0.1430  4 Ga 3.09, 3 Ge 3.10-3.29
Ce 0.5000 0.0000 0.6402  7 Ge 3.07-3.29
Ga 0.5000 0.5000 0.0741  2 Ge 2.63
Ge 0.0000 0.5000 0.5801  2 Ge 2.69
Ge 0.0000 0.0000 0.4213  2 Ge 2.69
Ge 0.5000 0.0000 0.9236  2 Ga 2.63

***

CeGa2Ge2 | PBE | relaxed

Properties
As for the space-group type: R-3m. The raw total energy is -22.15 eV per formula unit. The density of states at the Fermi level is 6.014 states/eV per cell.

Cell lengths 4.1356, 4.1356, 8.0555 Å; angles 75.13, 75.13, 60.00 degrees
Closest atoms and distances in Å follow each position.
Fractional coordinates of all 5 atoms:
Ce 0.0000 0.0000 0.0000  6 Ge 2.99
Ga 0.2167 0.2167 0.3500  3 Ge 2.55
Ga 0.7833 0.7833 0.6500  3 Ge 2.55
Ge 0.5887 0.5887 0.2340  3 Ga 2.55
Ge 0.4113 0.4113 0.7660  3 Ga 2.55

***

CeGaGe | PBE | relaxed

Properties
As for the space-group type: Imma. The raw total energy is -15.39 eV per formula unit. The density of states at the Fermi level is 12.654 states/eV per cell.

Cell lengths 4.3062, 4.2737, 7.8772 Å; angles 74.26, 74.14, 90.00 degrees
Closest atoms and distances in Å follow each position.
Fractional coordinates of all 6 atoms:
Ce 0.7451 0.2451 0.5098  6 Ge 3.20-3.23, 6 Ga 3.26-3.31
Ce 0.0049 0.0049 0.9902  6 Ge 3.20-3.23, 6 Ga 3.26-3.31
Ga 0.3361 0.8361 0.3278  2 Ga 2.42, 1 Ge 2.44
Ga 0.4139 0.4139 0.1722  2 Ga 2.42, 1 Ge 2.44
Ge 0.1686 0.6686 0.6629  1 Ga 2.44, 2 Ge 2.50
Ge 0.5814 0.5814 0.8371  1 Ga 2.44, 2 Ge 2.50

***

Ce4GaGe | PBE | relaxed

Properties
As for the space-group type: C2/m. The raw total energy is -33.20 eV per formula unit. The density of states at the Fermi level is 14.212 states/eV per cell.

Cell lengths 5.0342, 5.8875, 5.8875 Å; angles 96.34, 64.67, 64.67 degrees
Closest atoms and distances in Å follow each position.
Fractional coordinates of all 6 atoms:
Ce 0.7469 0.5839 0.9188  5 Ce 2.89-3.03
Ce 0.7469 0.9188 0.5838  5 Ce 2.89-3.03
Ce 0.2531 0.4161 0.0812  5 Ce 2.89-3.03
Ce 0.2531 0.0812 0.4162  5 Ce 2.89-3.03
Ga 0.0000 0.0000 0.0000  2 Ge 3.01, 12 Ce 3.27-3.29
Ge 0.5000 0.5000 0.5000  2 Ga 3.01, 12 Ce 3.28-3.29

***

Ce5GaGe6 | PBE | relaxed

Properties
As for the space-group type: C2/m. The raw total energy is -67.29 eV per formula unit. The density of states at the Fermi level is 21.442 states/eV per cell.

Cell lengths 7.7520, 5.8789, 7.7661 Å; angles 67.76, 78.57, 58.43 degrees
Closest atoms and distances in Å follow each position.
Fractional coordinates of all 12 atoms:
Ce 0.5000 0.1966 0.6068  6 Ge 2.94-3.10
Ce 0.0000 0.3541 0.2919  6 Ge 3.02-3.08
Ce 0.5000 0.5000 0.0000  8 Ge 3.04-3.35
Ce 0.0000 0.6459 0.7081  6 Ge 3.02-3.08
Ce 0.5000 0.8034 0.3932  6 Ge 2.94-3.10
Ga 0.0000 0.0000 0.0000  4 Ge 2.67
Ge 0.8003 0.0076 0.3220  1 Ge 2.66, 1 Ga 2.67, 1 Ce 2.94
Ge 0.1997 0.6704 0.3220  1 Ge 2.66, 1 Ga 2.67, 1 Ce 2.94
Ge 0.3094 0.1604 0.0000  1 Ge 2.54
Ge 0.6906 0.8396 0.0000  1 Ge 2.54
Ge 0.8003 0.3296 0.6780  1 Ge 2.66, 1 Ga 2.67, 1 Ce 2.94
Ge 0.1997 0.9924 0.6780  1 Ge 2.66, 1 Ga 2.67, 1 Ce 2.94

***

Ce2GaGe4 | PBE | relaxed

Properties
As for the space-group type: I4/mmm. The raw total energy is -35.51 eV per formula unit. The density of states at the Fermi level is 9.174 states/eV per cell.

Cell lengths 4.1335, 4.1335, 9.7440 Å; angles 102.25, 102.25, 90.00 degrees
Closest atoms and distances in Å follow each position.
Fractional coordinates of all 7 atoms:
Ce 0.6124 0.6124 0.2249  8 Ge 2.95-3.29
Ce 0.3876 0.3876 0.7751  8 Ge 2.95-3.29
Ga 0.0000 0.0000 0.0000  2 Ge 2.46
Ge 0.1323 0.1323 0.2646  1 Ga 2.46
Ge 0.8677 0.8677 0.7354  1 Ga 2.46
Ge 0.7500 0.2500 0.5000  8 Ge 2.92-3.01
Ge 0.2500 0.7500 0.5000  8 Ge 2.92-3.01